VASP calculation (GGA-PBE) on an optimized crystal structure of DySI.

The structure in POSCAR format:
```
DySI
1.0
-1.812 1.812 6.946
1.812 -1.812 6.946
1.812 1.812 -6.946
Dy S I
1 1 1
Cartesian
0.000 0.000 0.000
0.000 0.000 8.092
0.000 0.000 4.726
```

## Properties
space-group type: No. 107
distance to the lowest polymorph of the same formula: 390 meV per atom
M_tot: 0.0 μB/f.u.
final energy: -4.8511 eV per atom